(1)
Hg2AuBr | PBE | optimized geometry

Unit cell a=6.712 b=6.712 c=6.712 alpha=110.22 beta=110.22 gamma=107.99
Atoms (fractional coordinates):
Hg  0.099  0.625  0.974
Hg  0.375  0.349  0.474
Hg  0.651  0.125  0.026
Hg  0.875  0.901  0.526
Au  0.000  0.000  0.000
Au  0.750  0.250  0.500
Br  0.250  0.750  0.500
Br  0.500  0.500  0.000

For the total energy, the calculation gives -11.1 eV per cell. The calculation puts the relative energy among the computed polymorphs at 72 meV per atom. The value obtained for the density of states at the Fermi level is 0.4 states/eV per cell. For the raw formation energy, the calculation gives 0.001 eV/atom. The crystal system is tetragonal. As for the total magnetization: 0.0 μB/cell.



(2)
Hg4AuBr | PBE | optimized geometry

Unit cell a=6.039 b=6.039 c=6.039 alpha=60.00 beta=60.00 gamma=60.00
Atoms (fractional coordinates):
Hg  0.125  0.125  0.125
Hg  0.125  0.125  0.626
Hg  0.125  0.626  0.125
Hg  0.626  0.125  0.125
Au  0.750  0.750  0.750
Br  0.500  0.500  0.500

For the total energy, the calculation gives -4.6 eV per cell. The calculation puts the relative energy among the computed polymorphs at 333 meV per atom. The value obtained for the density of states at the Fermi level is 5.7 states/eV per cell. For the raw formation energy, the calculation gives 0.252 eV/atom. The crystal system is cubic. As for the total magnetization: 0.0 μB/cell.



(3)
Hg2Au3Br8 | PBE | optimized geometry

Unit cell a=7.712 b=7.712 c=22.599 alpha=102.35 beta=102.35 gamma=55.75
Atoms (fractional coordinates):
Hg  0.019  0.869  0.854
Hg  0.131  0.981  0.646
Hg  0.869  0.019  0.354
Hg  0.981  0.131  0.146
Au  0.157  0.843  0.250
Au  0.351  0.470  0.410
Au  0.470  0.351  0.910
Au  0.530  0.649  0.090
Au  0.649  0.530  0.590
Au  0.843  0.157  0.750
Br  0.036  0.355  0.621
Br  0.046  0.742  0.146
Br  0.257  0.496  0.797
Br  0.258  0.954  0.354
Br  0.278  0.692  0.539
Br  0.308  0.722  0.961
Br  0.355  0.036  0.121
Br  0.496  0.257  0.297
Br  0.504  0.743  0.703
Br  0.645  0.964  0.879
Br  0.692  0.278  0.039
Br  0.722  0.308  0.461
Br  0.742  0.046  0.646
Br  0.743  0.504  0.203
Br  0.954  0.258  0.854
Br  0.964  0.645  0.379

For the total energy, the calculation gives -52.9 eV per cell. The value obtained for the density of states at the Fermi level is 12.0 states/eV per cell. For the raw formation energy, the calculation gives -0.203 eV/atom. The crystal system is monoclinic. As for the total magnetization: 0.9 μB/cell.



(4)
Hg2AuBr | PBE | optimized geometry

Unit cell a=3.976 b=3.976 c=7.476 alpha=90.00 beta=90.00 gamma=90.00
Atoms (fractional coordinates):
Hg  0.000  0.000  0.000
Hg  0.500  0.500  0.405
Au  0.000  0.000  0.368
Br  0.500  0.500  0.852

For the total energy, the calculation gives -5.6 eV per cell. The calculation puts the relative energy among the computed polymorphs at 53 meV per atom. The value obtained for the density of states at the Fermi level is 1.2 states/eV per cell. For the raw formation energy, the calculation gives -0.018 eV/atom. The crystal system is tetragonal. As for the total magnetization: 0.0 μB/cell.



(5)
Hg3Au5Br12 | PBE | optimized geometry

Unit cell a=15.224 b=15.224 c=15.224 alpha=109.47 beta=109.47 gamma=109.47
Atoms (fractional coordinates):
Hg  0.125  0.250  0.375
Hg  0.125  0.375  0.750
Hg  0.250  0.375  0.125
Hg  0.250  0.875  0.625
Hg  0.375  0.125  0.250
Hg  0.375  0.750  0.125
Hg  0.625  0.250  0.875
Hg  0.625  0.875  0.750
Hg  0.750  0.125  0.375
Hg  0.750  0.625  0.875
Hg  0.875  0.625  0.250
Hg  0.875  0.750  0.625
Au  0.000  0.000  0.000
Au  0.000  0.000  0.500
Au  0.000  0.500  0.000
Au  0.000  0.500  0.500
Au  0.125  0.750  0.875
Au  0.125  0.875  0.250
Au  0.250  0.125  0.875
Au  0.250  0.625  0.375
Au  0.375  0.250  0.625
Au  0.375  0.625  0.750
Au  0.500  0.000  0.000
Au  0.500  0.000  0.500
Au  0.500  0.500  0.000
Au  0.500  0.500  0.500
Au  0.625  0.375  0.250
Au  0.625  0.750  0.375
Au  0.750  0.375  0.625
Au  0.750  0.875  0.125
Au  0.875  0.125  0.750
Au  0.875  0.250  0.125
Br  0.003  0.161  0.151
Br  0.003  0.342  0.852
Br  0.010  0.661  0.658
Br  0.010  0.849  0.352
Br  0.148  0.651  0.490
Br  0.148  0.997  0.658
Br  0.151  0.003  0.161
Br  0.151  0.648  0.990
Br  0.158  0.161  0.510
Br  0.158  0.497  0.648
Br  0.161  0.151  0.003
Br  0.161  0.510  0.158
Br  0.339  0.342  0.990
Br  0.339  0.497  0.349
Br  0.342  0.852  0.003
Br  0.342  0.990  0.339
Br  0.349  0.339  0.497
Br  0.349  0.510  0.852
Br  0.352  0.010  0.849
Br  0.352  0.842  0.503
Br  0.490  0.148  0.651
Br  0.490  0.842  0.839
Br  0.497  0.349  0.339
Br  0.497  0.648  0.158
Br  0.503  0.352  0.842
Br  0.503  0.651  0.661
Br  0.510  0.158  0.161
Br  0.510  0.852  0.349
Br  0.648  0.158  0.497
Br  0.648  0.990  0.151
Br  0.651  0.490  0.148
Br  0.651  0.661  0.503
Br  0.658  0.010  0.661
Br  0.658  0.148  0.997
Br  0.661  0.503  0.651
Br  0.661  0.658  0.010
Br  0.839  0.490  0.842
Br  0.839  0.849  0.997
Br  0.842  0.503  0.352
Br  0.842  0.839  0.490
Br  0.849  0.352  0.010
Br  0.849  0.997  0.839
Br  0.852  0.003  0.342
Br  0.852  0.349  0.510
Br  0.990  0.151  0.648
Br  0.990  0.339  0.342
Br  0.997  0.658  0.148
Br  0.997  0.839  0.849

For the total energy, the calculation gives -156.2 eV per cell. The value obtained for the density of states at the Fermi level is 23.0 states/eV per cell. For the raw formation energy, the calculation gives -0.084 eV/atom. The crystal system is cubic. As for the total magnetization: 0.0 μB/cell.



(6)
HgAu2Br8 | PBE | optimized geometry

Unit cell a=7.442 b=7.442 c=7.403 alpha=104.16 beta=104.16 gamma=67.06
Atoms (fractional coordinates):
Hg  0.000  0.000  0.000
Au  0.204  0.204  0.665
Au  0.796  0.796  0.335
Br  0.119  0.685  0.206
Br  0.198  0.198  0.313
Br  0.315  0.881  0.794
Br  0.417  0.417  0.730
Br  0.583  0.583  0.270
Br  0.685  0.119  0.206
Br  0.802  0.802  0.687
Br  0.881  0.315  0.794

For the total energy, the calculation gives -20.1 eV per cell. The calculation puts the relative energy among the computed polymorphs at 204 meV per atom. The value obtained for the density of states at the Fermi level is 7.8 states/eV per cell. For the raw formation energy, the calculation gives 0.012 eV/atom. The crystal system is monoclinic. As for the total magnetization: 0.0 μB/cell.



(7)
HgAuBr3 | PBE | optimized geometry

Unit cell a=7.191 b=4.351 c=10.838 alpha=90.00 beta=99.20 gamma=90.00
Atoms (fractional coordinates):
Hg  0.030  0.250  0.164
Hg  0.970  0.750  0.836
Au  0.456  0.250  0.690
Au  0.544  0.750  0.310
Br  0.105  0.250  0.694
Br  0.237  0.750  0.038
Br  0.352  0.250  0.344
Br  0.648  0.750  0.656
Br  0.763  0.250  0.962
Br  0.895  0.750  0.306

For the total energy, the calculation gives -19.3 eV per cell. The calculation puts the relative energy among the computed polymorphs at 74 meV per atom. The value obtained for the density of states at the Fermi level is 0.2 states/eV per cell. For the raw formation energy, the calculation gives -0.209 eV/atom. The crystal system is monoclinic. As for the total magnetization: 0.0 μB/cell.



(8)
Hg2AuBr | PBE | optimized geometry

Unit cell a=5.204 b=5.204 c=5.204 alpha=60.00 beta=60.00 gamma=60.00
Atoms (fractional coordinates):
Hg  0.000  0.000  0.000
Hg  0.250  0.250  0.250
Au  0.750  0.750  0.750
Br  0.500  0.500  0.500

For the total energy, the calculation gives -4.6 eV per cell. The calculation puts the relative energy among the computed polymorphs at 306 meV per atom. The value obtained for the density of states at the Fermi level is 1.0 states/eV per cell. For the raw formation energy, the calculation gives 0.235 eV/atom. The crystal system is cubic. As for the total magnetization: 0.0 μB/cell.